# PBE HgRhI2N, optimized geometry
data_HgRhI2N
_chemical_formula_sum 'Hg1 Rh1 I2 N1'
_cell_length_a 5.766
_cell_length_b 5.766
_cell_length_c 3.727
_cell_angle_alpha 90.00
_cell_angle_beta 90.00
_cell_angle_gamma 90.00
_symmetry_space_group_name_H-M 'P 4/m m m'
_symmetry_Int_Tables_number 123
_symmetry_space_group_name_Hall '-P 4 2'
loop_
_atom_site_label
_atom_site_fract_x
_atom_site_fract_y
_atom_site_fract_z
_atom_site_occupancy
Hg1 0.000 0.000 0.000 1
Rh1 0.500 0.500 0.500 1
I1 0.000 0.500 0.500 1
N1 0.500 0.500 0.000 1
# - Total magnetization: 0.0 μB/f.u.
# - E_form (uncorrected): 0.370 eV per atom
# - Electronic total energy: -17.229 eV/f.u.
# - V: 24.779 A^3/atom


# PBE HgRhI2N, optimized geometry
data_HgRhI2N
_chemical_formula_sum 'Hg1 Rh1 I2 N1'
_cell_length_a 6.076
_cell_length_b 6.076
_cell_length_c 3.929
_cell_angle_alpha 90.00
_cell_angle_beta 90.00
_cell_angle_gamma 90.00
_symmetry_space_group_name_H-M 'P 4/m m m'
_symmetry_Int_Tables_number 123
_symmetry_space_group_name_Hall '-P 4 2'
loop_
_atom_site_label
_atom_site_fract_x
_atom_site_fract_y
_atom_site_fract_z
_atom_site_occupancy
Hg1 0.000 0.000 0.000 1
Rh1 0.500 0.500 0.500 1
I1 0.000 0.500 0.000 1
N1 0.000 0.000 0.500 1
# - Total magnetization: 2.2 μB/f.u.
# - E_form (uncorrected): 1.536 eV per atom
# - Electronic total energy: -11.398 eV/f.u.
# - V: 29.010 A^3/atom


# PBE HgRuI2N, optimized geometry
data_HgRuI2N
_chemical_formula_sum 'Hg1 Ru1 I2 N1'
_cell_length_a 5.677
_cell_length_b 5.677
_cell_length_c 3.741
_cell_angle_alpha 90.00
_cell_angle_beta 90.00
_cell_angle_gamma 90.00
_symmetry_space_group_name_H-M 'P 4/m m m'
_symmetry_Int_Tables_number 123
_symmetry_space_group_name_Hall '-P 4 2'
loop_
_atom_site_label
_atom_site_fract_x
_atom_site_fract_y
_atom_site_fract_z
_atom_site_occupancy
Hg1 0.000 0.000 0.000 1
Ru1 0.500 0.500 0.500 1
I1 0.000 0.500 0.500 1
N1 0.500 0.500 0.000 1
# - Total magnetization: 0.0 μB/f.u.
# - E_form (uncorrected): 0.341 eV per atom
# - Electronic total energy: -19.298 eV/f.u.
# - V: 24.117 A^3/atom


# PBE HgRuI2N, optimized geometry
data_HgRuI2N
_chemical_formula_sum 'Hg1 Ru1 I2 N1'
_cell_length_a 6.135
_cell_length_b 6.135
_cell_length_c 3.924
_cell_angle_alpha 90.00
_cell_angle_beta 90.00
_cell_angle_gamma 90.00
_symmetry_space_group_name_H-M 'P 4/m m m'
_symmetry_Int_Tables_number 123
_symmetry_space_group_name_Hall '-P 4 2'
loop_
_atom_site_label
_atom_site_fract_x
_atom_site_fract_y
_atom_site_fract_z
_atom_site_occupancy
Hg1 0.000 0.000 0.000 1
Ru1 0.500 0.500 0.500 1
I1 0.000 0.500 0.000 1
N1 0.000 0.000 0.500 1
# - Total magnetization: 3.2 μB/f.u.
# - E_form (uncorrected): 1.709 eV per atom
# - Electronic total energy: -12.459 eV/f.u.
# - V: 29.541 A^3/atom


# PBE HgSI2N, optimized geometry
data_HgSI2N
_chemical_formula_sum 'Hg1 S1 I2 N1'
_cell_length_a 6.164
_cell_length_b 6.164
_cell_length_c 4.235
_cell_angle_alpha 90.00
_cell_angle_beta 90.00
_cell_angle_gamma 90.00
_symmetry_space_group_name_H-M 'P 4/m m m'
_symmetry_Int_Tables_number 123
_symmetry_space_group_name_Hall '-P 4 2'
loop_
_atom_site_label
_atom_site_fract_x
_atom_site_fract_y
_atom_site_fract_z
_atom_site_occupancy
Hg1 0.000 0.000 0.000 1
S1 0.500 0.500 0.500 1
I1 0.000 0.500 0.000 1
N1 0.000 0.000 0.500 1
# - Total magnetization: 4.9 μB/f.u.
# - E_form (uncorrected): 1.332 eV per atom
# - Electronic total energy: -9.193 eV/f.u.
# - V: 32.175 A^3/atom


# PBE HgSI2N, optimized geometry
data_HgSI2N
_chemical_formula_sum 'Hg1 S1 I2 N1'
_cell_length_a 7.384
_cell_length_b 7.384
_cell_length_c 3.225
_cell_angle_alpha 90.00
_cell_angle_beta 90.00
_cell_angle_gamma 90.00
_symmetry_space_group_name_H-M 'P 4/m m m'
_symmetry_Int_Tables_number 123
_symmetry_space_group_name_Hall '-P 4 2'
loop_
_atom_site_label
_atom_site_fract_x
_atom_site_fract_y
_atom_site_fract_z
_atom_site_occupancy
Hg1 0.000 0.000 0.000 1
S1 0.500 0.500 0.500 1
I1 0.000 0.500 0.500 1
N1 0.500 0.500 0.000 1
# - Total magnetization: 0.0 μB/f.u.
# - E_form (uncorrected): 0.601 eV per atom
# - Electronic total energy: -12.848 eV/f.u.
# - V: 35.165 A^3/atom